DFT (PBE with a Hubbard U) results for YCrNO2 after structural relaxation.

Cell lengths 4.323, 4.323, 4.560 Å; angles 90.00, 90.00, 90.00 degrees
Element x y z (fractional)
1 Y 0.000 0.000 0.000
2 Cr 0.500 0.500 0.500
3 N 0.000 0.000 0.500
4 O 0.000 0.500 0.000
5 O 0.500 0.000 0.000

Values from the calculation:
- Size of the total moment: 0.400 μB/atom
- SG: P4/mmm, No. 123
- VASP energy: -6.939 eV per atom